A plane-wave DFT calculation with GGA-PBE was carried out for an optimized crystal structure of MoPbW2.

As for the total energy: -9.398 eV per atom. For the volume, the calculation gives 17.6 Å³/atom.

It has space group Imm2 (No. 44), with a = 3.364 Å, b = 4.570 Å, c = 9.184 Å, α = 90.00°, β = 90.00° and γ = 90.00°. The asymmetric unit holds Mo at (0.000, 0.000, 0.000), Pb at (0.000, 0.500, 0.760), W at (0.000, 0.000, 0.521) and W at (0.000, 0.500, 0.255).



A plane-wave DFT calculation with GGA-PBE was carried out for an optimized crystal structure of Mo2PbW.

As for the total energy: -8.991 eV per atom. For the volume, the calculation gives 18.5 Å³/atom.

It has space group Pmm2 (No. 25), with a = 3.070 Å, b = 4.094 Å, c = 5.871 Å, α = 90.00°, β = 90.00° and γ = 90.00°. The asymmetric unit holds Mo at (0.000, 0.000, 0.000), Mo at (0.500, 0.500, 0.209), Pb at (0.000, 0.000, 0.499) and W at (0.500, 0.500, 0.802).



A plane-wave DFT calculation with GGA-PBE was carried out for an optimized crystal structure of Y2MoPb.

As for the total energy: -6.675 eV per atom. For the volume, the calculation gives 26.2 Å³/atom.

It has space group R-3m (No. 166, hexagonal axes), with a = 3.5376 Å, b = 3.5376 Å, c = 28.9620 Å, α = 90.00°, β = 90.00° and γ = 120.00°. The asymmetric unit holds Y at (0.0000, 0.0000, 0.2396), Mo at (0.0000, 0.0000, 0.5000) and Pb at (0.0000, 0.0000, 0.0000).



A plane-wave DFT calculation with GGA-PBE was carried out for an optimized crystal structure of Y2MoPb.

As for the total energy: -6.577 eV per atom. For the volume, the calculation gives 25.8 Å³/atom.

It has space group C2/m (No. 12), with a = 9.674 Å, b = 3.383 Å, c = 6.397 Å, α = 90.00°, β = 100.06° and γ = 90.00°. The asymmetric unit holds Y at (0.242, 0.000, 0.230), Mo at (0.000, 0.500, 0.000) and Pb at (0.000, 0.000, 0.500).



A plane-wave DFT calculation with GGA-PBE was carried out for an optimized crystal structure of YMo2Pb.

As for the total energy: -7.582 eV per atom. For the volume, the calculation gives 22.5 Å³/atom.

It has space group C2/m (No. 12), with a = 10.313 Å, b = 3.492 Å, c = 5.234 Å, α = 90.00°, β = 106.91° and γ = 90.00°. The asymmetric unit holds Y at (0.000, 0.000, 0.000), Mo at (0.246, 0.000, 0.666) and Pb at (0.000, 0.500, 0.500).



A plane-wave DFT calculation with GGA-PBE was carried out for an optimized crystal structure of Y2MoPb.

As for the total energy: -6.666 eV per atom. For the volume, the calculation gives 25.4 Å³/atom.

It has space group P4mm (No. 99), with a = 3.722 Å, b = 3.722 Å, c = 7.322 Å, α = 90.00°, β = 90.00° and γ = 90.00°. The asymmetric unit holds Y at (0.000, 0.000, 0.000), Y at (0.500, 0.500, 0.326), Mo at (0.000, 0.000, 0.574) and Pb at (0.500, 0.500, 0.752).